The following is a DFT calculation (PBE with a Hubbard U) of a relaxed structure of BaV2H2Se4O14.

```
BaV2H2Se4O14
1.0
7.218 0.000 0.000
0.000 9.893 0.010
0.000 4.483 8.974
Ba V O Se H
2 4 28 8 4
Direct
0.000 0.500 0.500
0.500 0.500 0.000
0.028 0.706 0.053
0.972 0.294 0.947
0.528 0.294 0.447
0.472 0.706 0.553
0.339 0.721 0.099
0.502 0.056 0.143
0.939 0.504 0.780
0.186 0.304 0.002
0.498 0.944 0.857
0.344 0.654 0.396
0.686 0.696 0.498
0.998 0.056 0.643
0.091 0.929 0.918
0.844 0.346 0.104
0.002 0.944 0.357
0.980 0.771 0.216
0.480 0.229 0.284
0.156 0.654 0.896
0.314 0.304 0.502
0.591 0.071 0.582
0.561 0.504 0.280
0.656 0.346 0.604
0.520 0.771 0.716
0.839 0.279 0.401
0.909 0.071 0.082
0.409 0.929 0.418
0.814 0.696 0.998
0.061 0.496 0.220
0.661 0.279 0.901
0.161 0.721 0.599
0.439 0.496 0.720
0.020 0.229 0.784
0.510 0.315 0.754
0.990 0.315 0.254
0.925 0.057 0.812
0.490 0.685 0.246
0.425 0.943 0.688
0.575 0.057 0.312
0.075 0.943 0.188
0.010 0.685 0.746
0.580 0.128 0.057
0.920 0.128 0.557
0.080 0.872 0.443
0.420 0.872 0.943
```

Values from the calculation:
D(E_F)	0.00	states/eV/f.u.
DFT total energy	-6.01	eV per atom